Model A:
NdLuTlTe3 | PBE | relaxed

Geometry as CIF:
```
data_NdLuTlTe3
_cell_length_a 4.3773
_cell_length_b 15.3469
_cell_length_c 12.1186
_cell_angle_alpha 90.00
_cell_angle_beta 90.00
_cell_angle_gamma 90.00
_space_group_name_H-M_alt 'C m c m'
_space_group_IT_number 63
_space_group_name_Hall '-C 2c 2'
loop_
_atom_site_label
_atom_site_fract_x
_atom_site_fract_y
_atom_site_fract_z
_atom_site_occupancy
Nd1 0.0000 0.0756 0.2500 1
Lu1 0.0000 0.5000 0.0000 1
Tl1 0.0000 0.2402 0.7500 1
Te1 0.0000 0.1404 0.0148 1
Te2 0.0000 0.4350 0.2500 1
```

=====

Model B:
NdLuTlTe3 | PBE | relaxed

Geometry as CIF:
```
data_NdLuTlTe3
_cell_length_a 4.5262
_cell_length_b 15.4732
_cell_length_c 12.1897
_cell_angle_alpha 90.00
_cell_angle_beta 90.00
_cell_angle_gamma 90.00
_space_group_name_H-M_alt 'C m c m'
_space_group_IT_number 63
_space_group_name_Hall '-C 2c 2'
loop_
_atom_site_label
_atom_site_fract_x
_atom_site_fract_y
_atom_site_fract_z
_atom_site_occupancy
Nd1 0.0000 0.0000 0.0000 1
Lu1 0.0000 0.4492 0.2500 1
Tl1 0.0000 0.2477 0.7500 1
Te1 0.0000 0.0698 0.2500 1
Te2 0.0000 0.3564 0.0458 1
```

=====

Stability, lowest: model A

=====

Model A:
LuNiPdPb | PBE | relaxed

Geometry as CIF:
```
data_LuNiPdPb
_cell_length_a 6.6781
_cell_length_b 6.6781
_cell_length_c 6.6781
_cell_angle_alpha 90.00
_cell_angle_beta 90.00
_cell_angle_gamma 90.00
_space_group_name_H-M_alt 'F -4 3 m'
_space_group_IT_number 216
_space_group_name_Hall 'F -4 2 3'
loop_
_atom_site_label
_atom_site_fract_x
_atom_site_fract_y
_atom_site_fract_z
_atom_site_occupancy
Lu1 0.0000 0.0000 0.0000 1
Ni1 0.2500 0.2500 0.7500 1
Pd1 0.2500 0.2500 0.2500 1
Pb1 0.0000 0.0000 0.5000 1
```

=====

Model B:
LuNiPdPb | PBE | relaxed

Geometry as CIF:
```
data_LuNiPdPb
_cell_length_a 6.7124
_cell_length_b 6.7124
_cell_length_c 6.7124
_cell_angle_alpha 90.00
_cell_angle_beta 90.00
_cell_angle_gamma 90.00
_space_group_name_H-M_alt 'F -4 3 m'
_space_group_IT_number 216
_space_group_name_Hall 'F -4 2 3'
loop_
_atom_site_label
_atom_site_fract_x
_atom_site_fract_y
_atom_site_fract_z
_atom_site_occupancy
Lu1 0.0000 0.0000 0.0000 1
Ni1 0.0000 0.0000 0.5000 1
Pd1 0.2500 0.2500 0.7500 1
Pb1 0.2500 0.2500 0.2500 1
```

=====

Stability, lowest: model B